one.
Compound: NbAsWBr2
Source: Alexandria
Functional: GGA-PBE
Structure: relaxed

Summary:
DOS(E_F) = 6.31 states/eV/f.u.
Volume = 25.9 A^3/atom

CIF file:
```
data_NbAsWBr2
_chemical_formula_sum 'Nb1 As1 W1 Br2'
_cell_length_a 5.1327
_cell_length_b 5.1327
_cell_length_c 4.9247
_cell_angle_alpha 90.00
_cell_angle_beta 90.00
_cell_angle_gamma 90.00
_symmetry_space_group_name_H-M 'P 1'
_symmetry_Int_Tables_number 1
loop_
_symmetry_equiv_pos_as_xyz
'x,y,z'
loop_
_atom_site_label
_atom_site_type_symbol
_atom_site_fract_x
_atom_site_fract_y
_atom_site_fract_z
Nb1 Nb 0.0000 0.0000 0.0000
As1 As 0.5000 0.5000 0.0000
W1 W 0.5000 0.5000 0.5000
Br1 Br 0.0000 0.5000 0.5000
Br2 Br 0.5000 0.0000 0.5000
```

two.
Compound: NbAsWBr2
Source: Alexandria
Functional: GGA-PBE
Structure: relaxed

Summary:
DOS(E_F) = 3.78 states/eV/f.u.
Volume = 26.8 A^3/atom

CIF file:
```
data_NbAsWBr2
_chemical_formula_sum 'Nb1 As1 W1 Br2'
_cell_length_a 5.0464
_cell_length_b 5.0464
_cell_length_c 5.2645
_cell_angle_alpha 90.00
_cell_angle_beta 90.00
_cell_angle_gamma 90.00
_symmetry_space_group_name_H-M 'P 1'
_symmetry_Int_Tables_number 1
loop_
_symmetry_equiv_pos_as_xyz
'x,y,z'
loop_
_atom_site_label
_atom_site_type_symbol
_atom_site_fract_x
_atom_site_fract_y
_atom_site_fract_z
Nb1 Nb 0.0000 0.0000 0.0000
As1 As 0.0000 0.0000 0.5000
W1 W 0.5000 0.5000 0.5000
Br1 Br 0.0000 0.5000 0.0000
Br2 Br 0.5000 0.0000 0.0000
```

Best to worst by energy: one, two.

one.
Compound: NbAs2WBr
Source: Alexandria
Functional: GGA-PBE
Structure: relaxed

Summary:
DOS(E_F) = 4.46 states/eV/f.u.
Volume = 25.5 A^3/atom

CIF file:
```
data_NbAs2WBr
_chemical_formula_sum 'Nb1 As2 W1 Br1'
_cell_length_a 5.0649
_cell_length_b 5.0649
_cell_length_c 4.9749
_cell_angle_alpha 90.00
_cell_angle_beta 90.00
_cell_angle_gamma 90.00
_symmetry_space_group_name_H-M 'P 1'
_symmetry_Int_Tables_number 1
loop_
_symmetry_equiv_pos_as_xyz
'x,y,z'
loop_
_atom_site_label
_atom_site_type_symbol
_atom_site_fract_x
_atom_site_fract_y
_atom_site_fract_z
Nb1 Nb 0.0000 0.0000 0.0000
As1 As 0.0000 0.5000 0.0000
As2 As 0.5000 0.0000 0.0000
W1 W 0.5000 0.5000 0.5000
Br1 Br 0.0000 0.0000 0.5000
```

two.
Compound: NbAs2WBr
Source: Alexandria
Functional: GGA-PBE
Structure: relaxed

Summary:
DOS(E_F) = 5.07 states/eV/f.u.
Volume = 24.6 A^3/atom

CIF file:
```
data_NbAs2WBr
_chemical_formula_sum 'Nb1 As2 W1 Br1'
_cell_length_a 4.8502
_cell_length_b 4.8502
_cell_length_c 5.2366
_cell_angle_alpha 90.00
_cell_angle_beta 90.00
_cell_angle_gamma 90.00
_symmetry_space_group_name_H-M 'P 1'
_symmetry_Int_Tables_number 1
loop_
_symmetry_equiv_pos_as_xyz
'x,y,z'
loop_
_atom_site_label
_atom_site_type_symbol
_atom_site_fract_x
_atom_site_fract_y
_atom_site_fract_z
Nb1 Nb 0.0000 0.0000 0.0000
As1 As 0.0000 0.5000 0.5000
As2 As 0.5000 0.0000 0.5000
W1 W 0.5000 0.5000 0.5000
Br1 Br 0.5000 0.5000 0.0000
```

Best to worst by energy: two, one.

one.
Compound: ZrNbAs2Br
Source: Alexandria
Functional: GGA-PBE
Structure: relaxed

Summary:
DOS(E_F) = 4.15 states/eV/f.u.
Volume = 25.2 A^3/atom

CIF file:
```
data_ZrNbAs2Br
_chemical_formula_sum 'Zr1 Nb1 As2 Br1'
_cell_length_a 5.0005
_cell_length_b 5.0005
_cell_length_c 5.0435
_cell_angle_alpha 90.00
_cell_angle_beta 90.00
_cell_angle_gamma 90.00
_symmetry_space_group_name_H-M 'P 1'
_symmetry_Int_Tables_number 1
loop_
_symmetry_equiv_pos_as_xyz
'x,y,z'
loop_
_atom_site_label
_atom_site_type_symbol
_atom_site_fract_x
_atom_site_fract_y
_atom_site_fract_z
Zr1 Zr 0.0000 0.0000 0.0000
Nb1 Nb 0.5000 0.5000 0.5000
As1 As 0.0000 0.5000 0.5000
As2 As 0.5000 0.0000 0.5000
Br1 Br 0.5000 0.5000 0.0000
```

two.
Compound: ZrNbAs2Br
Source: Alexandria
Functional: GGA-PBE
Structure: relaxed

Summary:
DOS(E_F) = 4.76 states/eV/f.u.
Volume = 27.7 A^3/atom

CIF file:
```
data_ZrNbAs2Br
_chemical_formula_sum 'Zr1 Nb1 As2 Br1'
_cell_length_a 5.1942
_cell_length_b 5.1942
_cell_length_c 5.1370
_cell_angle_alpha 90.00
_cell_angle_beta 90.00
_cell_angle_gamma 90.00
_symmetry_space_group_name_H-M 'P 1'
_symmetry_Int_Tables_number 1
loop_
_symmetry_equiv_pos_as_xyz
'x,y,z'
loop_
_atom_site_label
_atom_site_type_symbol
_atom_site_fract_x
_atom_site_fract_y
_atom_site_fract_z
Zr1 Zr 0.0000 0.0000 0.0000
Nb1 Nb 0.5000 0.5000 0.5000
As1 As 0.0000 0.5000 0.0000
As2 As 0.5000 0.0000 0.0000
Br1 Br 0.0000 0.0000 0.5000
```

Best to worst by energy: one, two.

one.
Compound: ZrNbAsBr2
Source: Alexandria
Functional: GGA-PBE
Structure: relaxed

Summary:
DOS(E_F) = 3.70 states/eV/f.u.
Volume = 27.7 A^3/atom

CIF file:
```
data_ZrNbAsBr2
_chemical_formula_sum 'Zr1 Nb1 As1 Br2'
_cell_length_a 4.8497
_cell_length_b 4.8497
_cell_length_c 5.8846
_cell_angle_alpha 90.00
_cell_angle_beta 90.00
_cell_angle_gamma 90.00
_symmetry_space_group_name_H-M 'P 1'
_symmetry_Int_Tables_number 1
loop_
_symmetry_equiv_pos_as_xyz
'x,y,z'
loop_
_atom_site_label
_atom_site_type_symbol
_atom_site_fract_x
_atom_site_fract_y
_atom_site_fract_z
Zr1 Zr 0.0000 0.0000 0.0000
Nb1 Nb 0.0000 0.0000 0.5000
As1 As 0.5000 0.5000 0.0000
Br1 Br 0.0000 0.5000 0.5000
Br2 Br 0.5000 0.0000 0.5000
```

two.
Compound: ZrNbAsBr2
Source: Alexandria
Functional: GGA-PBE
Structure: relaxed

Summary:
DOS(E_F) = 7.20 states/eV/f.u.
Volume = 28.9 A^3/atom

CIF file:
```
data_ZrNbAsBr2
_chemical_formula_sum 'Zr1 Nb1 As1 Br2'
_cell_length_a 5.1842
_cell_length_b 5.1842
_cell_length_c 5.3748
_cell_angle_alpha 90.00
_cell_angle_beta 90.00
_cell_angle_gamma 90.00
_symmetry_space_group_name_H-M 'P 1'
_symmetry_Int_Tables_number 1
loop_
_symmetry_equiv_pos_as_xyz
'x,y,z'
loop_
_atom_site_label
_atom_site_type_symbol
_atom_site_fract_x
_atom_site_fract_y
_atom_site_fract_z
Zr1 Zr 0.0000 0.0000 0.0000
Nb1 Nb 0.5000 0.5000 0.5000
As1 As 0.0000 0.0000 0.5000
Br1 Br 0.0000 0.5000 0.0000
Br2 Br 0.5000 0.0000 0.0000
```

Best to worst by energy: two, one.

one.
Compound: NiAs2PBr
Source: Alexandria
Functional: GGA-PBE
Structure: relaxed

Summary:
DOS(E_F) = 7.18 states/eV/f.u.
Volume = 22.4 A^3/atom

CIF file:
```
data_NiAs2PBr
_chemical_formula_sum 'Ni1 As2 P1 Br1'
_cell_length_a 4.7528
_cell_length_b 4.7528
_cell_length_c 4.9551
_cell_angle_alpha 90.00
_cell_angle_beta 90.00
_cell_angle_gamma 90.00
_symmetry_space_group_name_H-M 'P 1'
_symmetry_Int_Tables_number 1
loop_
_symmetry_equiv_pos_as_xyz
'x,y,z'
loop_
_atom_site_label
_atom_site_type_symbol
_atom_site_fract_x
_atom_site_fract_y
_atom_site_fract_z
Ni1 Ni 0.0000 0.0000 0.0000
As1 As 0.0000 0.5000 0.5000
As2 As 0.5000 0.0000 0.5000
P1 P 0.5000 0.5000 0.5000
Br1 Br 0.5000 0.5000 0.0000
```

two.
Compound: NiAs2PBr
Source: Alexandria
Functional: GGA-PBE
Structure: relaxed

Summary:
DOS(E_F) = 5.44 states/eV/f.u.
Volume = 20.4 A^3/atom

CIF file:
```
data_NiAs2PBr
_chemical_formula_sum 'Ni1 As2 P1 Br1'
_cell_length_a 4.6665
_cell_length_b 4.6665
_cell_length_c 4.6913
_cell_angle_alpha 90.00
_cell_angle_beta 90.00
_cell_angle_gamma 90.00
_symmetry_space_group_name_H-M 'P 1'
_symmetry_Int_Tables_number 1
loop_
_symmetry_equiv_pos_as_xyz
'x,y,z'
loop_
_atom_site_label
_atom_site_type_symbol
_atom_site_fract_x
_atom_site_fract_y
_atom_site_fract_z
Ni1 Ni 0.0000 0.0000 0.0000
As1 As 0.0000 0.5000 0.0000
As2 As 0.5000 0.0000 0.0000
P1 P 0.5000 0.5000 0.5000
Br1 Br 0.0000 0.0000 0.5000
```

Best to worst by energy: two, one.

one.
Compound: NiAsPBr2
Source: Alexandria
Functional: GGA-PBE
Structure: relaxed

Summary:
DOS(E_F) = 7.32 states/eV/f.u.
Volume = 24.9 A^3/atom

CIF file:
```
data_NiAsPBr2
_chemical_formula_sum 'Ni1 As1 P1 Br2'
_cell_length_a 5.0197
_cell_length_b 5.0197
_cell_length_c 4.9364
_cell_angle_alpha 90.00
_cell_angle_beta 90.00
_cell_angle_gamma 90.00
_symmetry_space_group_name_H-M 'P 1'
_symmetry_Int_Tables_number 1
loop_
_symmetry_equiv_pos_as_xyz
'x,y,z'
loop_
_atom_site_label
_atom_site_type_symbol
_atom_site_fract_x
_atom_site_fract_y
_atom_site_fract_z
Ni1 Ni 0.0000 0.0000 0.0000
As1 As 0.5000 0.5000 0.0000
P1 P 0.5000 0.5000 0.5000
Br1 Br 0.0000 0.5000 0.5000
Br2 Br 0.5000 0.0000 0.5000
```

two.
Compound: NiAsPBr2
Source: Alexandria
Functional: GGA-PBE
Structure: relaxed

Summary:
DOS(E_F) = 3.19 states/eV/f.u.
Volume = 21.5 A^3/atom

CIF file:
```
data_NiAsPBr2
_chemical_formula_sum 'Ni1 As1 P1 Br2'
_cell_length_a 4.7529
_cell_length_b 4.7529
_cell_length_c 4.7662
_cell_angle_alpha 90.00
_cell_angle_beta 90.00
_cell_angle_gamma 90.00
_symmetry_space_group_name_H-M 'P 1'
_symmetry_Int_Tables_number 1
loop_
_symmetry_equiv_pos_as_xyz
'x,y,z'
loop_
_atom_site_label
_atom_site_type_symbol
_atom_site_fract_x
_atom_site_fract_y
_atom_site_fract_z
Ni1 Ni 0.0000 0.0000 0.0000
As1 As 0.0000 0.0000 0.5000
P1 P 0.5000 0.5000 0.5000
Br1 Br 0.0000 0.5000 0.0000
Br2 Br 0.5000 0.0000 0.0000
```

Best to worst by energy: two, one.

one.
Compound: NiAs2PtBr
Source: Alexandria
Functional: GGA-PBE
Structure: relaxed

Summary:
DOS(E_F) = 2.82 states/eV/f.u.
Volume = 19.9 A^3/atom

CIF file:
```
data_NiAs2PtBr
_chemical_formula_sum 'Ni1 As2 Pt1 Br1'
_cell_length_a 4.5683
_cell_length_b 4.5683
_cell_length_c 4.7726
_cell_angle_alpha 90.00
_cell_angle_beta 90.00
_cell_angle_gamma 90.00
_symmetry_space_group_name_H-M 'P 1'
_symmetry_Int_Tables_number 1
loop_
_symmetry_equiv_pos_as_xyz
'x,y,z'
loop_
_atom_site_label
_atom_site_type_symbol
_atom_site_fract_x
_atom_site_fract_y
_atom_site_fract_z
Ni1 Ni 0.0000 0.0000 0.0000
As1 As 0.0000 0.5000 0.0000
As2 As 0.5000 0.0000 0.0000
Pt1 Pt 0.5000 0.5000 0.5000
Br1 Br 0.0000 0.0000 0.5000
```

two.
Compound: NiAs2PtBr
Source: Alexandria
Functional: GGA-PBE
Structure: relaxed

Summary:
DOS(E_F) = 8.18 states/eV/f.u.
Volume = 24.7 A^3/atom

CIF file:
```
data_NiAs2PtBr
_chemical_formula_sum 'Ni1 As2 Pt1 Br1'
_cell_length_a 4.8433
_cell_length_b 4.8433
_cell_length_c 5.2700
_cell_angle_alpha 90.00
_cell_angle_beta 90.00
_cell_angle_gamma 90.00
_symmetry_space_group_name_H-M 'P 1'
_symmetry_Int_Tables_number 1
loop_
_symmetry_equiv_pos_as_xyz
'x,y,z'
loop_
_atom_site_label
_atom_site_type_symbol
_atom_site_fract_x
_atom_site_fract_y
_atom_site_fract_z
Ni1 Ni 0.0000 0.0000 0.0000
As1 As 0.0000 0.5000 0.5000
As2 As 0.5000 0.0000 0.5000
Pt1 Pt 0.5000 0.5000 0.5000
Br1 Br 0.5000 0.5000 0.0000
```

Best to worst by energy: one, two.

one.
Compound: NiAsPtBr2
Source: Alexandria
Functional: GGA-PBE
Structure: relaxed

Summary:
DOS(E_F) = 5.31 states/eV/f.u.
Volume = 21.5 A^3/atom

CIF file:
```
data_NiAsPtBr2
_chemical_formula_sum 'Ni1 As1 Pt1 Br2'
_cell_length_a 4.8284
_cell_length_b 4.8284
_cell_length_c 4.6041
_cell_angle_alpha 90.00
_cell_angle_beta 90.00
_cell_angle_gamma 90.00
_symmetry_space_group_name_H-M 'P 1'
_symmetry_Int_Tables_number 1
loop_
_symmetry_equiv_pos_as_xyz
'x,y,z'
loop_
_atom_site_label
_atom_site_type_symbol
_atom_site_fract_x
_atom_site_fract_y
_atom_site_fract_z
Ni1 Ni 0.0000 0.0000 0.0000
As1 As 0.0000 0.0000 0.5000
Pt1 Pt 0.5000 0.5000 0.5000
Br1 Br 0.0000 0.5000 0.0000
Br2 Br 0.5000 0.0000 0.0000
```

two.
Compound: NiAsPtBr2
Source: Alexandria
Functional: GGA-PBE
Structure: relaxed

Summary:
DOS(E_F) = 13.24 states/eV/f.u.
Volume = 26.6 A^3/atom

CIF file:
```
data_NiAsPtBr2
_chemical_formula_sum 'Ni1 As1 Pt1 Br2'
_cell_length_a 5.3122
_cell_length_b 5.3122
_cell_length_c 4.7199
_cell_angle_alpha 90.00
_cell_angle_beta 90.00
_cell_angle_gamma 90.00
_symmetry_space_group_name_H-M 'P 1'
_symmetry_Int_Tables_number 1
loop_
_symmetry_equiv_pos_as_xyz
'x,y,z'
loop_
_atom_site_label
_atom_site_type_symbol
_atom_site_fract_x
_atom_site_fract_y
_atom_site_fract_z
Ni1 Ni 0.0000 0.0000 0.0000
As1 As 0.5000 0.5000 0.0000
Pt1 Pt 0.5000 0.5000 0.5000
Br1 Br 0.0000 0.5000 0.5000
Br2 Br 0.5000 0.0000 0.5000
```

Best to worst by energy: one, two.